No. 1
Here is an optimized crystal structure of LaTlHRhBr from Alexandria. Energies are from PBE.

Uncorrected energy ... -0.337 Ry/atom

abc: 3.811 5.802 4.960
angles: 90.00 90.00 90.00
Space group Pmm2 (No. 25)
Inequivalent atoms, fractional coordinates:
La1 0.000 0.000 0.000 x1
Tl1 0.500 0.500 0.503 x1
H1 0.000 0.000 0.501 x1
Rh1 0.500 0.000 0.502 x1
Br1 0.000 0.500 0.003 x1

No. 2
Here is an optimized crystal structure of LaTlHRhBr from Alexandria. Energies are from PBE.

Uncorrected energy ... -0.326 Ry/atom

abc: 3.700 5.335 6.425
angles: 70.33 76.45 71.46
Space group P1 (No. 1)
Inequivalent atoms, fractional coordinates:
La1 0.000 0.000 0.000 x1
Tl1 0.520 0.352 0.417 x1
H1 0.491 0.194 0.777 x1
Rh1 0.233 0.933 0.362 x1
Br1 0.758 0.622 0.828 x1